(1)
The following is a PBE-GGA calculation of crystalline Ce2PmRu9 at its relaxed geometry, from the Alexandria database.

CIF file:
```
data_Ce2PmRu9
_space_group_name_H-M_alt 'R -3 m'
_space_group_IT_number 166
_space_group_name_Hall '-R 3 2"'
_cell_length_a 5.2404
_cell_length_b 5.2404
_cell_length_c 26.8509
_cell_angle_alpha 90.00
_cell_angle_beta 90.00
_cell_angle_gamma 120.00
loop_
_atom_site_label
_atom_site_fract_x
_atom_site_fract_y
_atom_site_fract_z
Ce1 0.0000 0.0000 0.1397
Pm1 0.0000 0.0000 0.0000
Ru1 0.0000 0.0000 0.3353
Ru2 0.0000 0.0000 0.5000
Ru3 0.0031 0.5016 0.9186
```

Output
- E (eV per atom) = -8.451
- calculated volume (Å³ per cell) = 639
- crystal system = trigonal
- ΔE_f (eV per atom) = -0.109

=====

(2)
The following is a PBE-GGA calculation of crystalline Ce2PmRu2 at its relaxed geometry, from the Alexandria database.

CIF file:
```
data_Ce2PmRu2
_space_group_name_H-M_alt 'C 1 2/m 1'
_space_group_IT_number 12
_space_group_name_Hall '-C 2y'
_cell_length_a 12.869
_cell_length_b 3.810
_cell_length_c 11.120
_cell_angle_alpha 90.00
_cell_angle_beta 118.57
_cell_angle_gamma 90.00
loop_
_atom_site_label
_atom_site_fract_x
_atom_site_fract_y
_atom_site_fract_z
Ce1 0.070 0.000 0.199
Ce2 0.165 0.000 0.575
Pm1 0.179 0.500 0.850
Ru1 0.058 0.500 0.413
Ru2 0.124 0.500 0.079
```

Output
- relative energy among the computed polymorphs (meV per atom) = 0
- E (eV per atom) = -7.282
- calculated volume (Å³ per cell) = 479
- crystal system = monoclinic
- ΔE_f (eV per atom) = -0.248

=====

(3)
The following is a PBE-GGA calculation of crystalline Ce4PmRu4 at its relaxed geometry, from the Alexandria database.

CIF file:
```
data_Ce4PmRu4
_space_group_name_H-M_alt 'P 42/n'
_space_group_IT_number 86
_cell_length_a 8.684
_cell_length_b 8.684
_cell_length_c 5.790
_cell_angle_alpha 90.00
_cell_angle_beta 90.00
_cell_angle_gamma 90.00
loop_
_space_group_symop_operation_xyz
'x,y,z'
'-x,-y,-z'
'-y,x+1/2,z+1/2'
'y,-x+1/2,-z+1/2'
'-x+1/2,-y+1/2,z'
'x+1/2,y+1/2,-z'
'y+1/2,-x,z+1/2'
'-y+1/2,x,-z+1/2'
loop_
_atom_site_label
_atom_site_fract_x
_atom_site_fract_y
_atom_site_fract_z
Ce1 0.057 0.662 0.195
Pm1 0.250 0.250 0.250
Ru1 0.056 0.605 0.678
```

Output
- E (eV per atom) = -7.587
- calculated volume (Å³ per cell) = 437
- crystal system = tetragonal
- ΔE_f (eV per atom) = -0.300

=====

(4)
The following is a PBE-GGA calculation of crystalline Ce2PmRu at its relaxed geometry, from the Alexandria database.

CIF file:
```
data_Ce2PmRu
_space_group_name_H-M_alt 'R 3 m'
_space_group_IT_number 160
_space_group_name_Hall 'R 3 -2"'
_cell_length_a 3.8724
_cell_length_b 3.8724
_cell_length_c 26.7067
_cell_angle_alpha 90.00
_cell_angle_beta 90.00
_cell_angle_gamma 120.00
loop_
_atom_site_label
_atom_site_fract_x
_atom_site_fract_y
_atom_site_fract_z
Ce1 0.0000 0.0000 0.0000
Ce2 0.0000 0.0000 0.2134
Pm1 0.0000 0.0000 0.4402
Ru1 0.0000 0.0000 0.6054
```

Output
- relative energy among the computed polymorphs (meV per atom) = 133
- E (eV per atom) = -6.555
- calculated volume (Å³ per cell) = 347
- crystal system = trigonal
- ΔE_f (eV per atom) = -0.081

=====

no.,magnetic moment (μB per formula unit)
1,0.00
2,0.00
3,0.00
4,0.19